(1)
9
Lattice="7.823 -1.623 0.000 7.823 1.623 0.000 -6.809 0.000 8.389" Properties=species:S:1:pos:R:3 comment="HfZr2Sc6, relaxed, DFT PBE" ef_ev_per_atom=0.00 e_above_lowest_polymorph_mev_per_atom=0 e_tot_ev_per_atom=-7.222 space_group=C2/m dos_at_fermi_per_ev_cell=15.49 pbc="T T T"
Hf 0.000 0.000 0.000
Zr 0.684 0.000 5.626
Zr 8.153 0.000 2.762
Sc -4.509 0.000 6.225
Sc -1.611 0.000 7.763
Sc 2.963 0.000 3.425
Sc 5.874 0.000 4.963
Sc 10.448 0.000 0.626
Sc 13.346 0.000 2.164


(2)
11
Lattice="5.299 -2.932 0.000 5.299 2.932 0.000 -0.995 0.000 8.438" Properties=species:S:1:pos:R:3 comment="Hf3Zr2Sc6, relaxed, DFT PBE" ef_ev_per_atom=0.21 e_tot_ev_per_atom=-7.510 space_group=C2/m dos_at_fermi_per_ev_cell=18.63 pbc="T T T"
Hf 0.000 0.000 0.000
Hf 0.144 0.000 2.902
Hf 9.459 0.000 5.536
Zr 4.404 0.000 6.964
Zr 5.199 0.000 1.474
Sc 2.611 1.491 1.542
Sc 3.183 0.000 4.232
Sc 6.992 1.491 6.896
Sc 2.611 -1.491 1.542
Sc 6.419 0.000 4.205
Sc 6.992 -1.491 6.896